1.
{"formula": "Na3ScOs", "functional": "PBEsol", "state": "relaxed", "lattice_angstrom": [[5.292, 0.000, 0.000], [0.000, 5.292, 0.000], [0.000, 0.000, 5.292]], "species": ["Na", "Na", "Na", "Sc", "Os"], "fractional_positions": [[0.000, 0.000, 0.500], [0.000, 0.500, 0.000], [0.500, 0.000, 0.000], [0.500, 0.500, 0.500], [0.000, 0.000, 0.000]], "e_form_ev_per_atom": 1.622, "space_group": "Pm-3m, No. 221", "magmom_total_mub_per_atom": 0.09}

---

2.
{"formula": "NaSc3Os", "functional": "PBEsol", "state": "relaxed", "lattice_angstrom": [[5.069, 0.000, 0.000], [0.000, 5.069, 0.000], [0.000, 0.000, 5.069]], "species": ["Na", "Sc", "Sc", "Sc", "Os"], "fractional_positions": [[0.000, 0.000, 0.000], [0.000, 0.500, 0.500], [0.500, 0.000, 0.500], [0.500, 0.500, 0.000], [0.500, 0.500, 0.500]], "e_form_ev_per_atom": 0.058, "space_group": "Pm-3m, No. 221", "magmom_total_mub_per_atom": 0.00}

---

3.
{"formula": "NaOs3Se", "functional": "PBEsol", "state": "relaxed", "lattice_angstrom": [[4.534, 0.000, 0.000], [0.000, 4.534, 0.000], [0.000, 0.000, 4.534]], "species": ["Na", "Os", "Os", "Os", "Se"], "fractional_positions": [[0.000, 0.000, 0.000], [0.000, 0.500, 0.500], [0.500, 0.000, 0.500], [0.500, 0.500, 0.000], [0.500, 0.500, 0.500]], "formation_energy_uncorrected_mev_per_atom": 1748, "space_group": "Pm-3m, No. 221", "magmom_total_mub_per_atom": 0.17}

---

4.
{"formula": "NaOs2Se2", "functional": "PBEsol", "state": "relaxed", "lattice_angstrom": [[-2.287, 2.287, 4.417], [2.287, -2.287, 4.417], [2.287, 2.287, -4.417]], "species": ["Na", "Os", "Os", "Se", "Se"], "fractional_positions": [[0.000, 0.000, 0.000], [0.362, 0.362, 0.000], [0.638, 0.638, 0.000], [0.250, 0.750, 0.500], [0.750, 0.250, 0.500]], "formation_energy_uncorrected_mev_per_atom": 383, "space_group": "I4/mmm, No. 139", "magmom_total_mub_per_atom": 0.00}

---

no.,theoretical density (kg/m³)
1,3408
2,4437
3,11984
4,10090